## Dy3Ni2Sn3Pd (PBE)

Data for a relaxed structure of Dy3Ni2Sn3Pd. Values from VASP.

Geometry as Quantum ESPRESSO input:
```
&SYSTEM
  ibrav = 0, nat = 9, ntyp = 4
/
ATOMIC_SPECIES
Dy 162.50 Dy.upf
Ni 58.69 Ni.upf
Pd 106.42 Pd.upf
Sn 118.71 Sn.upf
CELL_PARAMETERS angstrom
-3.724 -6.277 -0.647
6.027 1.114 -4.015
2.247 -1.634 2.920
ATOMIC_POSITIONS angstrom
Dy -1.528 -2.576 -0.265
Dy 2.474 0.457 -1.648
Dy 1.358 -3.044 -2.749
Ni 0.650 -4.630 -0.310
Ni 3.900 -2.166 -1.433
Pd 0.000 0.000 0.000
Sn -1.611 -5.426 0.985
Sn 1.735 -2.189 0.221
Sn 5.549 0.001 -1.489
```

Summary:
**Calculated volume**: 187 Å³ per cell
**Total DFT energy (no corrections)**: -5.4249 eV per atom
**Crystal system**: hexagonal
**SG**: P-62m (189)

***

## Dy2TmNiSn3Pd2 (PBE)

Data for a relaxed structure of Dy2TmNiSn3Pd2. Values from VASP.

Geometry as Quantum ESPRESSO input:
```
&SYSTEM
  ibrav = 0, nat = 9, ntyp = 5
/
ATOMIC_SPECIES
Dy 162.50 Dy.upf
Ni 58.69 Ni.upf
Pd 106.42 Pd.upf
Sn 118.71 Sn.upf
Tm 168.93 Tm.upf
CELL_PARAMETERS angstrom
3.858 0.000 0.000
0.000 6.516 3.775
0.000 -6.516 3.775
ATOMIC_POSITIONS angstrom
Dy 0.000 3.900 2.260
Dy 0.000 -3.900 2.260
Ni 0.000 0.000 0.009
Pd 1.929 2.150 3.769
Pd 1.929 -2.150 3.769
Sn 1.929 1.633 0.952
Sn 1.929 -1.633 0.952
Sn 1.929 0.000 5.654
Tm 0.000 0.000 3.022
```

Summary:
**Calculated volume**: 190 Å³ per cell
**Total DFT energy (no corrections)**: -5.4936 eV per atom
**Crystal system**: orthorhombic
**SG**: Amm2 (38)

***

## Dy3Zn3Ni2Pd (PBE)

Data for a relaxed structure of Dy3Zn3Ni2Pd. Values from VASP.

Geometry as Quantum ESPRESSO input:
```
&SYSTEM
  ibrav = 0, nat = 9, ntyp = 4
/
ATOMIC_SPECIES
Dy 162.50 Dy.upf
Ni 58.69 Ni.upf
Pd 106.42 Pd.upf
Zn 65.41 Zn.upf
CELL_PARAMETERS angstrom
-6.707 -1.516 -1.853
5.265 -0.784 -4.731
0.490 -3.558 1.135
ATOMIC_POSITIONS angstrom
Dy -3.951 -0.893 -1.092
Dy -0.593 -0.945 -2.706
Dy 3.101 -0.462 -2.787
Ni -2.471 -3.051 -2.245
Ni 1.519 -2.807 -3.204
Pd 0.000 0.000 0.000
Zn -1.494 -2.172 0.087
Zn 1.610 -1.982 -0.659
Zn -0.823 -3.483 -4.310
```

Summary:
**Energy of formation from the pure elements**: -551 meV per atom
**Calculated volume**: 165 Å³ per cell
**Total DFT energy (no corrections)**: -4.3188 eV per atom
**Crystal system**: hexagonal
**SG**: P-62m (189)

***

## PmDyNi (PBE)

Data for a relaxed structure of PmDyNi. Values from VASP.

Geometry as Quantum ESPRESSO input:
```
&SYSTEM
  ibrav = 0, nat = 3, ntyp = 3
/
ATOMIC_SPECIES
Dy 162.50 Dy.upf
Ni 58.69 Ni.upf
Pm 145.00 Pm.upf
CELL_PARAMETERS angstrom
0.000 3.393 3.393
3.393 0.000 3.393
3.393 3.393 0.000
ATOMIC_POSITIONS angstrom
Dy 1.697 1.697 1.697
Ni 0.000 0.000 0.000
Pm 5.090 5.090 5.090
```

Summary:
**Energy of formation from the pure elements**: -110 meV per atom
**Calculated volume**: 78 Å³ per cell
**Energy above the most stable polymorph in this dataset**: 0 meV/atom
**Total DFT energy (no corrections)**: -5.0815 eV per atom
**Crystal system**: cubic
**SG**: F-43m (216)

***

## PrDyNi (PBE)

Data for a relaxed structure of PrDyNi. Values from VASP.

Geometry as Quantum ESPRESSO input:
```
&SYSTEM
  ibrav = 0, nat = 3, ntyp = 3
/
ATOMIC_SPECIES
Dy 162.50 Dy.upf
Ni 58.69 Ni.upf
Pr 140.91 Pr.upf
CELL_PARAMETERS angstrom
0.539 -2.089 4.321
-3.807 -0.507 2.929
-1.856 -4.385 0.811
ATOMIC_POSITIONS angstrom
Dy -1.281 -1.745 2.015
Ni 0.000 0.000 0.000
Pr -3.842 -5.236 6.046
```

Summary:
**Energy of formation from the pure elements**: -84 meV per atom
**Calculated volume**: 80 Å³ per cell
**Energy above the most stable polymorph in this dataset**: 0 meV/atom
**Total DFT energy (no corrections)**: -5.0656 eV per atom
**Crystal system**: cubic
**SG**: F-43m (216)

***

## Pr2Dy2Ni (PBE)

Data for a relaxed structure of Pr2Dy2Ni. Values from VASP.

Geometry as Quantum ESPRESSO input:
```
&SYSTEM
  ibrav = 0, nat = 10, ntyp = 3
/
ATOMIC_SPECIES
Dy 162.50 Dy.upf
Ni 58.69 Ni.upf
Pr 140.91 Pr.upf
CELL_PARAMETERS angstrom
5.387 0.000 0.000
-2.694 4.665 0.000
0.000 0.000 10.904
ATOMIC_POSITIONS angstrom
Dy 0.000 0.000 0.000
Dy 2.694 1.555 2.726
Dy 0.000 0.000 5.452
Dy 0.000 3.110 8.178
Ni 0.000 0.000 2.726
Ni 0.000 0.000 8.178
Pr 0.000 3.110 1.055
Pr 0.000 3.110 4.398
Pr 2.694 1.555 6.507
Pr 2.694 1.555 9.850
```

Summary:
**Energy of formation from the pure elements**: 56 meV per atom
**Calculated volume**: 274 Å³ per cell
**Total DFT energy (no corrections)**: -4.8083 eV per atom
**Crystal system**: hexagonal
**SG**: P6_3/mmc (194)

***

## PrDy2Ni9 (PBE)

Data for a relaxed structure of PrDy2Ni9. Values from VASP.

Geometry as Quantum ESPRESSO input:
```
&SYSTEM
  ibrav = 0, nat = 12, ntyp = 3
/
ATOMIC_SPECIES
Dy 162.50 Dy.upf
Ni 58.69 Ni.upf
Pr 140.91 Pr.upf
CELL_PARAMETERS angstrom
2.500 1.444 8.111
-2.500 1.444 8.111
0.000 -2.887 8.111
ATOMIC_POSITIONS angstrom
Dy 0.000 0.000 3.402
Dy 0.000 0.000 20.930
Ni 0.000 1.448 10.135
Ni 0.000 0.000 8.100
Ni 1.254 0.724 14.197
Ni -1.254 0.724 14.197
Ni 0.000 0.000 12.166
Ni -1.254 -0.724 10.135
Ni 1.254 -0.724 10.135
Ni 0.000 0.000 16.232
Ni 0.000 -1.448 14.197
Pr 0.000 0.000 0.000
```

Summary:
**Energy of formation from the pure elements**: -384 meV per atom
**Calculated volume**: 176 Å³ per cell
**Energy above the most stable polymorph in this dataset**: 0 meV/atom
**Total DFT energy (no corrections)**: -5.7248 eV per atom
**Crystal system**: trigonal
**SG**: R-3m (166)

***

## Pr2DyNiSn3Pt2 (PBE)

Data for a relaxed structure of Pr2DyNiSn3Pt2. Values from VASP.

Geometry as Quantum ESPRESSO input:
```
&SYSTEM
  ibrav = 0, nat = 9, ntyp = 5
/
ATOMIC_SPECIES
Dy 162.50 Dy.upf
Ni 58.69 Ni.upf
Pr 140.91 Pr.upf
Pt 195.08 Pt.upf
Sn 118.71 Sn.upf
CELL_PARAMETERS angstrom
4.030 0.000 0.000
0.000 6.585 3.813
0.000 -6.585 3.813
ATOMIC_POSITIONS angstrom
Dy 0.000 0.000 3.095
Ni 0.000 0.000 0.046
Pr 0.000 2.692 6.066
Pr 0.000 -2.692 6.066
Pt 2.015 2.116 3.790
Pt 2.015 -2.116 3.790
Sn 2.015 1.594 0.949
Sn 2.015 -1.594 0.949
Sn 2.015 0.000 5.756
```

Summary:
**Calculated volume**: 202 Å³ per cell
**Total DFT energy (no corrections)**: -5.8091 eV per atom
**Crystal system**: orthorhombic
**SG**: Amm2 (38)

***

## PrDy2Si4Ni4 (PBE)

Data for a relaxed structure of PrDy2Si4Ni4. Values from VASP.

Geometry as Quantum ESPRESSO input:
```
&SYSTEM
  ibrav = 0, nat = 11, ntyp = 4
/
ATOMIC_SPECIES
Dy 162.50 Dy.upf
Ni 58.69 Ni.upf
Pr 140.91 Pr.upf
Si 28.09 Si.upf
CELL_PARAMETERS angstrom
-2.013 2.024 11.525
2.013 -2.024 11.525
2.013 2.024 -11.525
ATOMIC_POSITIONS angstrom
Dy 0.000 2.024 3.458
Dy 2.013 0.000 8.067
Ni 0.000 0.000 5.738
Ni 0.000 0.000 17.312
Ni 0.000 2.024 9.208
Ni 2.013 0.000 2.317
Pr 0.000 0.000 0.000
Si 0.000 0.000 10.294
Si 0.000 0.000 12.757
Si 0.000 2.024 6.933
Si 2.013 0.000 4.592
```

Summary:
**Calculated volume**: 188 Å³ per cell
**Total DFT energy (no corrections)**: -6.0734 eV per atom
**Crystal system**: orthorhombic
**SG**: Immm (71)

***

## PrDySi4Ni2 (PBE)

Data for a relaxed structure of PrDySi4Ni2. Values from VASP.

Geometry as Quantum ESPRESSO input:
```
&SYSTEM
  ibrav = 0, nat = 8, ntyp = 4
/
ATOMIC_SPECIES
Dy 162.50 Dy.upf
Ni 58.69 Ni.upf
Pr 140.91 Pr.upf
Si 28.09 Si.upf
CELL_PARAMETERS angstrom
-1.806 -3.605 -0.010
-7.131 3.564 2.772
-7.455 3.737 -1.302
ATOMIC_POSITIONS angstrom
Dy -8.853 4.431 0.892
Ni -3.519 -0.493 0.259
Ni -11.945 5.979 1.204
Pr -6.661 1.080 0.576
Si -1.518 -1.495 0.057
Si -3.626 1.815 0.366
Si -11.813 3.659 1.095
Si -14.022 7.019 1.413
```

Summary:
**Calculated volume**: 135 Å³ per cell
**Total DFT energy (no corrections)**: -6.0959 eV per atom
**Crystal system**: orthorhombic
**SG**: Amm2 (38)

***

## PrDy2Zn2Si4Ni2 (PBE)

Data for a relaxed structure of PrDy2Zn2Si4Ni2. Values from VASP.

Geometry as Quantum ESPRESSO input:
```
&SYSTEM
  ibrav = 0, nat = 11, ntyp = 5
/
ATOMIC_SPECIES
Dy 162.50 Dy.upf
Ni 58.69 Ni.upf
Pr 140.91 Pr.upf
Si 28.09 Si.upf
Zn 65.41 Zn.upf
CELL_PARAMETERS angstrom
-2.035 2.045 11.841
2.035 -2.045 11.841
2.035 2.045 -11.841
ATOMIC_POSITIONS angstrom
Dy 0.000 2.045 3.660
Dy 2.035 0.000 8.182
Ni 0.000 0.000 5.935
Ni 0.000 0.000 17.747
Pr 0.000 0.000 0.000
Si 0.000 0.000 10.638
Si 0.000 0.000 13.044
Si 0.000 2.045 7.047
Si 2.035 0.000 4.794
Zn 0.000 2.045 9.435
Zn 2.035 0.000 2.406
```

Summary:
**Calculated volume**: 197 Å³ per cell
**Total DFT energy (no corrections)**: -5.1908 eV per atom
**Crystal system**: orthorhombic
**SG**: Immm (71)

***

## PrDyNi2Sn (PBE)

Data for a relaxed structure of PrDyNi2Sn. Values from VASP.

Geometry as Quantum ESPRESSO input:
```
&SYSTEM
  ibrav = 0, nat = 5, ntyp = 4
/
ATOMIC_SPECIES
Dy 162.50 Dy.upf
Ni 58.69 Ni.upf
Pr 140.91 Pr.upf
Sn 118.71 Sn.upf
CELL_PARAMETERS angstrom
-2.151 2.869 4.246
2.151 -2.869 4.246
2.151 2.869 -4.246
ATOMIC_POSITIONS angstrom
Dy 0.000 2.869 1.719
Ni 0.000 1.208 4.262
Ni 2.151 1.662 0.016
Pr 2.151 0.000 2.524
Sn 0.000 0.000 8.464
```

Summary:
**Calculated volume**: 105 Å³ per cell
**Total DFT energy (no corrections)**: -5.4487 eV per atom
**Crystal system**: orthorhombic
**SG**: Imm2 (44)

***

- Among the records above, which one has the lowest total DFT energy (no corrections)?
  PrDySi4Ni2